Entry w
# GGA-PBE MgPaB, optimized geometry
# Theoretical density: 6.78 Mg/m³
# Calculated volume: 21.72 Å³ per atom
data_MgPaB
_chemical_formula_sum 'Mg4 Pa4 B4'
_symmetry_space_group_name_H-M 'F -4 3 m'
_symmetry_Int_Tables_number 216
_symmetry_space_group_name_Hall 'F -4 2 3'
_cell_length_a 6.3875
_cell_length_b 6.3875
_cell_length_c 6.3875
_cell_angle_alpha 90.00
_cell_angle_beta 90.00
_cell_angle_gamma 90.00
loop_
_atom_site_label
_atom_site_type_symbol
_atom_site_fract_x
_atom_site_fract_y
_atom_site_fract_z
Mg1 Mg 0.0000 0.0000 0.0000
Pa1 Pa 0.2500 0.2500 0.7500
B1 B 0.0000 0.0000 0.5000

---

Entry x
# GGA-PBE MgPaB, optimized geometry
# Theoretical density: 7.59 Mg/m³
# Calculated volume: 19.41 Å³ per atom
data_MgPaB
_chemical_formula_sum 'Mg4 Pa4 B4'
_symmetry_space_group_name_H-M 'F -4 3 m'
_symmetry_Int_Tables_number 216
_symmetry_space_group_name_Hall 'F -4 2 3'
_cell_length_a 6.1529
_cell_length_b 6.1529
_cell_length_c 6.1529
_cell_angle_alpha 90.00
_cell_angle_beta 90.00
_cell_angle_gamma 90.00
loop_
_atom_site_label
_atom_site_type_symbol
_atom_site_fract_x
_atom_site_fract_y
_atom_site_fract_z
Mg1 Mg 0.0000 0.0000 0.0000
Pa1 Pa 0.2500 0.2500 0.2500
B1 B 0.2500 0.2500 0.7500

---

Entry y
# GGA-PBE MgPaB, optimized geometry
# Theoretical density: 7.96 Mg/m³
# Calculated volume: 18.51 Å³ per atom
data_MgPaB
_chemical_formula_sum 'Mg4 Pa4 B4'
_symmetry_space_group_name_H-M 'F -4 3 m'
_symmetry_Int_Tables_number 216
_symmetry_space_group_name_Hall 'F -4 2 3'
_cell_length_a 6.0564
_cell_length_b 6.0564
_cell_length_c 6.0564
_cell_angle_alpha 90.00
_cell_angle_beta 90.00
_cell_angle_gamma 90.00
loop_
_atom_site_label
_atom_site_type_symbol
_atom_site_fract_x
_atom_site_fract_y
_atom_site_fract_z
Mg1 Mg 0.0000 0.0000 0.0000
Pa1 Pa 0.0000 0.0000 0.5000
B1 B 0.2500 0.2500 0.2500

---

Relative calculated energies, zero for the most stable structure, unit meV per atom: entry w 1056; entry x 1051; entry y 0.

---

Entry w
# GGA-PBE MgB4Pd, optimized geometry
# Theoretical density: 5.10 Mg/m³
# Calculated volume: 9.43 Å³ per atom
data_MgB4Pd
_chemical_formula_sum 'Mg2 B8 Pd2'
_symmetry_space_group_name_H-M 'I m m m'
_symmetry_Int_Tables_number 71
_symmetry_space_group_name_Hall '-I 2 2'
_cell_length_a 3.0396
_cell_length_b 5.2269
_cell_length_c 7.1237
_cell_angle_alpha 90.00
_cell_angle_beta 90.00
_cell_angle_gamma 90.00
loop_
_atom_site_label
_atom_site_type_symbol
_atom_site_fract_x
_atom_site_fract_y
_atom_site_fract_z
Mg1 Mg 0.0000 0.0000 0.0000
B1 B 0.0000 0.3330 0.2578
Pd1 Pd 0.0000 0.0000 0.5000

---

Entry x
# GGA-PBE MgB4Pd, optimized geometry
# Theoretical density: 5.14 Mg/m³
# Calculated volume: 9.38 Å³ per atom
data_MgB4Pd
_chemical_formula_sum 'Mg1 B4 Pd1'
_symmetry_space_group_name_H-M 'P 6/m m m'
_symmetry_Int_Tables_number 191
_symmetry_space_group_name_Hall '-P 6 2'
_cell_length_a 3.0588
_cell_length_b 3.0588
_cell_length_c 6.9430
_cell_angle_alpha 90.00
_cell_angle_beta 90.00
_cell_angle_gamma 120.00
loop_
_atom_site_label
_atom_site_type_symbol
_atom_site_fract_x
_atom_site_fract_y
_atom_site_fract_z
Mg1 Mg 0.0000 0.0000 0.0000
B1 B 0.3333 0.6667 0.2467
Pd1 Pd 0.0000 0.0000 0.5000

---

Relative calculated energies, zero for the most stable structure, unit meV per atom: entry w 0; entry x 39.

---

Entry w
# GGA-PBE YMgBPd, optimized geometry
# Theoretical density: 5.88 Mg/m³
# Calculated volume: 16.27 Å³ per atom
data_YMgBPd
_chemical_formula_sum 'Y4 Mg4 B4 Pd4'
_symmetry_space_group_name_H-M 'F -4 3 m'
_symmetry_Int_Tables_number 216
_symmetry_space_group_name_Hall 'F -4 2 3'
_cell_length_a 6.3849
_cell_length_b 6.3849
_cell_length_c 6.3849
_cell_angle_alpha 90.00
_cell_angle_beta 90.00
_cell_angle_gamma 90.00
loop_
_atom_site_label
_atom_site_type_symbol
_atom_site_fract_x
_atom_site_fract_y
_atom_site_fract_z
Y1 Y 0.0000 0.0000 0.0000
Mg1 Mg 0.2500 0.2500 0.2500
B1 B 0.0000 0.0000 0.5000
Pd1 Pd 0.2500 0.2500 0.7500

---

Entry x
# GGA-PBE YMgBPd, optimized geometry
# Theoretical density: 5.58 Mg/m³
# Calculated volume: 17.15 Å³ per atom
data_YMgBPd
_chemical_formula_sum 'Y4 Mg4 B4 Pd4'
_symmetry_space_group_name_H-M 'F -4 3 m'
_symmetry_Int_Tables_number 216
_symmetry_space_group_name_Hall 'F -4 2 3'
_cell_length_a 6.4986
_cell_length_b 6.4986
_cell_length_c 6.4986
_cell_angle_alpha 90.00
_cell_angle_beta 90.00
_cell_angle_gamma 90.00
loop_
_atom_site_label
_atom_site_type_symbol
_atom_site_fract_x
_atom_site_fract_y
_atom_site_fract_z
Y1 Y 0.0000 0.0000 0.0000
Mg1 Mg 0.0000 0.0000 0.5000
B1 B 0.2500 0.2500 0.2500
Pd1 Pd 0.2500 0.2500 0.7500

---

Relative calculated energies, zero for the most stable structure, unit meV per atom: entry w 302; entry x 0.

---

Entry w
# GGA-PBE PmMgB, optimized geometry
# Theoretical density: 4.91 Mg/m³
# Calculated volume: 20.29 Å³ per atom
data_PmMgB
_chemical_formula_sum 'Pm4 Mg4 B4'
_symmetry_space_group_name_H-M 'F -4 3 m'
_symmetry_Int_Tables_number 216
_symmetry_space_group_name_Hall 'F -4 2 3'
_cell_length_a 6.2439
_cell_length_b 6.2439
_cell_length_c 6.2439
_cell_angle_alpha 90.00
_cell_angle_beta 90.00
_cell_angle_gamma 90.00
loop_
_atom_site_label
_atom_site_type_symbol
_atom_site_fract_x
_atom_site_fract_y
_atom_site_fract_z
Pm1 Pm 0.0000 0.0000 0.0000
Mg1 Mg 0.2500 0.2500 0.7500
B1 B 0.0000 0.0000 0.5000

---

Entry x
# GGA-PBE PmMgB, optimized geometry
# Theoretical density: 4.39 Mg/m³
# Calculated volume: 22.71 Å³ per atom
data_PmMgB
_chemical_formula_sum 'Pm4 Mg4 B4'
_symmetry_space_group_name_H-M 'F -4 3 m'
_symmetry_Int_Tables_number 216
_symmetry_space_group_name_Hall 'F -4 2 3'
_cell_length_a 6.4834
_cell_length_b 6.4834
_cell_length_c 6.4834
_cell_angle_alpha 90.00
_cell_angle_beta 90.00
_cell_angle_gamma 90.00
loop_
_atom_site_label
_atom_site_type_symbol
_atom_site_fract_x
_atom_site_fract_y
_atom_site_fract_z
Pm1 Pm 0.0000 0.0000 0.0000
Mg1 Mg 0.2500 0.2500 0.2500
B1 B 0.2500 0.2500 0.7500

---

Relative calculated energies, zero for the most stable structure, unit meV per atom: entry w 0; entry x 195.

---

Entry w
# GGA-PBE MgB4Pt, optimized geometry
# Theoretical density: 7.68 Mg/m³
# Calculated volume: 9.46 Å³ per atom
data_MgB4Pt
_chemical_formula_sum 'Mg2 B8 Pt2'
_symmetry_space_group_name_H-M 'I m m m'
_symmetry_Int_Tables_number 71
_symmetry_space_group_name_Hall '-I 2 2'
_cell_length_a 3.0616
_cell_length_b 5.1922
_cell_length_c 7.1442
_cell_angle_alpha 90.00
_cell_angle_beta 90.00
_cell_angle_gamma 90.00
loop_
_atom_site_label
_atom_site_type_symbol
_atom_site_fract_x
_atom_site_fract_y
_atom_site_fract_z
Mg1 Mg 0.0000 0.0000 0.0000
B1 B 0.0000 0.3303 0.2614
Pt1 Pt 0.0000 0.0000 0.5000

---

Entry x
# GGA-PBE MgB4Pt, optimized geometry
# Theoretical density: 7.70 Mg/m³
# Calculated volume: 9.44 Å³ per atom
data_MgB4Pt
_chemical_formula_sum 'Mg1 B4 Pt1'
_symmetry_space_group_name_H-M 'P 6/m m m'
_symmetry_Int_Tables_number 191
_symmetry_space_group_name_Hall '-P 6 2'
_cell_length_a 3.0796
_cell_length_b 3.0796
_cell_length_c 6.8952
_cell_angle_alpha 90.00
_cell_angle_beta 90.00
_cell_angle_gamma 120.00
loop_
_atom_site_label
_atom_site_type_symbol
_atom_site_fract_x
_atom_site_fract_y
_atom_site_fract_z
Mg1 Mg 0.0000 0.0000 0.0000
B1 B 0.3333 0.6667 0.2479
Pt1 Pt 0.0000 0.0000 0.5000

---

Relative calculated energies, zero for the most stable structure, unit meV per atom: entry w 0; entry x 58.

---

Entry w
# GGA-PBE YMgBPt, optimized geometry
# Theoretical density: 8.13 Mg/m³
# Calculated volume: 16.30 Å³ per atom
data_YMgBPt
_chemical_formula_sum 'Y4 Mg4 B4 Pt4'
_symmetry_space_group_name_H-M 'F -4 3 m'
_symmetry_Int_Tables_number 216
_symmetry_space_group_name_Hall 'F -4 2 3'
_cell_length_a 6.3891
_cell_length_b 6.3891
_cell_length_c 6.3891
_cell_angle_alpha 90.00
_cell_angle_beta 90.00
_cell_angle_gamma 90.00
loop_
_atom_site_label
_atom_site_type_symbol
_atom_site_fract_x
_atom_site_fract_y
_atom_site_fract_z
Y1 Y 0.0000 0.0000 0.0000
Mg1 Mg 0.2500 0.2500 0.2500
B1 B 0.0000 0.0000 0.5000
Pt1 Pt 0.2500 0.2500 0.7500

---

Entry x
# GGA-PBE YMgBPt, optimized geometry
# Theoretical density: 7.66 Mg/m³
# Calculated volume: 17.30 Å³ per atom
data_YMgBPt
_chemical_formula_sum 'Y4 Mg4 B4 Pt4'
_symmetry_space_group_name_H-M 'F -4 3 m'
_symmetry_Int_Tables_number 216
_symmetry_space_group_name_Hall 'F -4 2 3'
_cell_length_a 6.5173
_cell_length_b 6.5173
_cell_length_c 6.5173
_cell_angle_alpha 90.00
_cell_angle_beta 90.00
_cell_angle_gamma 90.00
loop_
_atom_site_label
_atom_site_type_symbol
_atom_site_fract_x
_atom_site_fract_y
_atom_site_fract_z
Y1 Y 0.0000 0.0000 0.0000
Mg1 Mg 0.0000 0.0000 0.5000
B1 B 0.2500 0.2500 0.2500
Pt1 Pt 0.2500 0.2500 0.7500

---

Relative calculated energies, zero for the most stable structure, unit meV per atom: entry w 287; entry x 0.

---

Entry w
# GGA-PBE MgReB4, optimized geometry
# Theoretical density: 7.28 Mg/m³
# Calculated volume: 9.65 Å³ per atom
data_MgReB4
_chemical_formula_sum 'Mg4 Re4 B16'
_symmetry_space_group_name_H-M 'P b a m'
_symmetry_Int_Tables_number 55
_cell_length_a 5.9098
_cell_length_b 11.2905
_cell_length_c 3.4692
_cell_angle_alpha 90.00
_cell_angle_beta 90.00
_cell_angle_gamma 90.00
loop_
_symmetry_equiv_pos_as_xyz
'x,y,z'
'-x,-y,-z'
'-x,-y,z'
'x,y,-z'
'x+1/2,-y+1/2,-z'
'-x+1/2,y+1/2,z'
'-x+1/2,y+1/2,-z'
'x+1/2,-y+1/2,z'
loop_
_atom_site_label
_atom_site_type_symbol
_atom_site_fract_x
_atom_site_fract_y
_atom_site_fract_z
Mg1 Mg 0.1216 0.1505 0.0000
Re1 Re 0.1339 0.4149 0.0000
B1 B 0.0153 0.6974 0.5000
B2 B 0.1169 0.5512 0.5000
B3 B 0.1309 0.9695 0.5000
B4 B 0.2052 0.8141 0.5000

---

Entry x
# GGA-PBE MgReB4, optimized geometry
# Theoretical density: 8.08 Mg/m³
# Calculated volume: 8.69 Å³ per atom
data_MgReB4
_chemical_formula_sum 'Mg2 Re2 B8'
_symmetry_space_group_name_H-M 'I m m m'
_symmetry_Int_Tables_number 71
_symmetry_space_group_name_Hall '-I 2 2'
_cell_length_a 3.0035
_cell_length_b 5.2248
_cell_length_c 6.6459
_cell_angle_alpha 90.00
_cell_angle_beta 90.00
_cell_angle_gamma 90.00
loop_
_atom_site_label
_atom_site_type_symbol
_atom_site_fract_x
_atom_site_fract_y
_atom_site_fract_z
Mg1 Mg 0.0000 0.0000 0.0000
Re1 Re 0.0000 0.0000 0.5000
B1 B 0.0000 0.3385 0.2554

---

Entry y
# GGA-PBE MgReB4, optimized geometry
# Theoretical density: 7.82 Mg/m³
# Calculated volume: 8.98 Å³ per atom
data_MgReB4
_chemical_formula_sum 'Mg1 Re1 B4'
_symmetry_space_group_name_H-M 'P 6/m m m'
_symmetry_Int_Tables_number 191
_symmetry_space_group_name_Hall '-P 6 2'
_cell_length_a 2.9893
_cell_length_b 2.9893
_cell_length_c 6.9642
_cell_angle_alpha 90.00
_cell_angle_beta 90.00
_cell_angle_gamma 120.00
loop_
_atom_site_label
_atom_site_type_symbol
_atom_site_fract_x
_atom_site_fract_y
_atom_site_fract_z
Mg1 Mg 0.0000 0.0000 0.0000
Re1 Re 0.0000 0.0000 0.5000
B1 B 0.3333 0.6667 0.2557

---

Relative calculated energies, zero for the most stable structure, unit meV per atom: entry w 0; entry x 12; entry y 130.

---

Entry w
# GGA-PBE MgReBW, optimized geometry
# Theoretical density: 12.76 Mg/m³
# Calculated volume: 13.18 Å³ per atom
data_MgReBW
_chemical_formula_sum 'Mg4 Re4 B4 W4'
_symmetry_space_group_name_H-M 'F -4 3 m'
_symmetry_Int_Tables_number 216
_symmetry_space_group_name_Hall 'F -4 2 3'
_cell_length_a 5.9518
_cell_length_b 5.9518
_cell_length_c 5.9518
_cell_angle_alpha 90.00
_cell_angle_beta 90.00
_cell_angle_gamma 90.00
loop_
_atom_site_label
_atom_site_type_symbol
_atom_site_fract_x
_atom_site_fract_y
_atom_site_fract_z
Mg1 Mg 0.0000 0.0000 0.0000
Re1 Re 0.2500 0.2500 0.2500
B1 B 0.0000 0.0000 0.5000
W1 W 0.2500 0.2500 0.7500

---

Entry x
# GGA-PBE MgReBW, optimized geometry
# Theoretical density: 12.47 Mg/m³
# Calculated volume: 13.49 Å³ per atom
data_MgReBW
_chemical_formula_sum 'Mg4 Re4 B4 W4'
_symmetry_space_group_name_H-M 'F -4 3 m'
_symmetry_Int_Tables_number 216
_symmetry_space_group_name_Hall 'F -4 2 3'
_cell_length_a 5.9986
_cell_length_b 5.9986
_cell_length_c 5.9986
_cell_angle_alpha 90.00
_cell_angle_beta 90.00
_cell_angle_gamma 90.00
loop_
_atom_site_label
_atom_site_type_symbol
_atom_site_fract_x
_atom_site_fract_y
_atom_site_fract_z
Mg1 Mg 0.0000 0.0000 0.0000
Re1 Re 0.0000 0.0000 0.5000
B1 B 0.2500 0.2500 0.2500
W1 W 0.2500 0.2500 0.7500

---

Relative calculated energies, zero for the most stable structure, unit meV per atom: entry w 455; entry x 0.